Record 1
The following is a PBE calculation of a relaxed structure of Ga2Ag2Bi, from the Alexandria database.

The formation enthalpy at 0 K comes out at 89 meV/atom. The total DFT energy (no corrections) comes out at -3.0383 eV per atom. The magnetization comes out at 0.000 μB per formula unit.

It has space group I4/mmm (No. 139), with a = 4.139 Å, b = 4.139 Å, c = 12.380 Å, α = 90.00°, β = 90.00° and γ = 90.00°. The asymmetric unit holds Ga at (0.000, 0.000, 0.104), Ag at (0.000, 0.500, 0.250) and Bi at (0.000, 0.000, 0.500).


Record 2
The following is a PBE calculation of a relaxed structure of KNiPt, from the Alexandria database.

The formation enthalpy at 0 K comes out at 599 meV/atom. The total DFT energy (no corrections) comes out at -3.7073 eV per atom. The magnetization comes out at 0.824 μB per formula unit.

It has space group P-6m2 (No. 187), with a = 4.7928 Å, b = 4.7928 Å, c = 2.8666 Å, α = 90.00°, β = 90.00° and γ = 120.00°. The asymmetric unit holds K at (0.0000, 0.0000, 0.0000), Ni at (0.6667, 0.3333, 0.5000) and Pt at (0.3333, 0.6667, 0.5000).


Record 3
The following is a PBE calculation of a relaxed structure of AcSbS, from the Alexandria database.

The total DFT energy (no corrections) comes out at -5.6861 eV per atom. The magnetization comes out at 0.000 μB per formula unit. The value obtained for the uncorrected formation energy is -1.567 eV/atom.

It has space group I4/mmm (No. 139), with a = 4.288 Å, b = 4.288 Å, c = 18.851 Å, α = 90.00°, β = 90.00° and γ = 90.00°. The asymmetric unit holds Ac at (0.000, 0.000, 0.153), Sb at (0.000, 0.500, 0.000) and S at (0.000, 0.000, 0.314).